# 1
First-principles (GGA-PBE) data for a relaxed CsAgPdS3 crystal, as listed in OQMD via LeMat-Bulk.

Computed properties:
Its offset from the most stable computed form is 0.000 eV per atom.

Cell: 8.4390 3.8971 9.9119 Å, 90.00 111.85 90.00°
Last column: nearest neighbours and their distance in Å.
Space group P2_1/m (No. 11)
Inequivalent atoms, fractional coordinates:
Cs 0.2490 0.2500 0.2845 x2  8 S 3.52-3.84, 2 Ag 3.79, 2 Cs 3.90
Ag 0.0677 0.2500 0.6040 x2  4 S 2.51-2.75, 2 Ag 2.76
Pd 0.3407 0.7500 0.8618 x2  6 S 2.38-2.50
S 0.1621 0.2500 0.8757 x2  2 Pd 2.50, 1 Ag 2.51
S 0.2634 0.7500 0.5945 x2  1 Pd 2.48, 3 Ag 2.58-2.75
S 0.4755 0.7500 0.1202 x2  3 Pd 2.38-2.46

=====

# 2
First-principles (GGA-PBE) data for a relaxed Sm4C2IBr2Cl2 crystal, as listed in OQMD via LeMat-Bulk.

Computed properties:
The energy is -5.561 eV/atom. The spin magnetization comes out at 0.0 μB/f.u.

Cell: 18.8600 3.9030 8.4950 Å, 90.00 104.77 90.00°
Last column: nearest neighbours and their distance in Å.
Space group C2/m (No. 12)
Inequivalent atoms, fractional coordinates:
Sm 0.0009 0.0000 0.3098 x4  4 C 2.63
Sm 0.1601 0.5000 0.5963 x4  1 C 2.22
C 0.0386 0.5000 0.5232 x4  1 C 1.41
I 0.0000 0.5000 0.0000 x2  4 Sm 3.27
Br 0.1640 0.0000 0.8536 x4  3 Sm 2.92-3.07
Cl 0.1699 0.0000 0.3583 x4  4 Sm 2.85-3.13

=====

# 3
First-principles (GGA-PBE) data for a relaxed HoPaFe crystal, as listed in OQMD via LeMat-Bulk.

Computed properties:
The value obtained for the formation energy from the elements is 0.251 eV/atom. The spin magnetization comes out at 0.6 μB/f.u.

Cell: 6.4924 6.4924 6.4924 Å, 90.00 90.00 90.00°
Last column: nearest neighbours and their distance in Å.
Space group F-43m (No. 216)
Inequivalent atoms, fractional coordinates:
Ho 0.0000 0.0000 0.0000 x4  4 Fe 2.81
Pa 0.0000 0.0000 0.5000 x4  4 Fe 2.81
Fe 0.2500 0.2500 0.2500 x4  4 Ho 2.81, 4 Pa 2.81